No. 1
Material: BeV3B
Method: DFT, PBE
State: relaxed

Properties
The calculation puts the formation energy at 0.1453 eV/atom. Its space-group type is No. 221. Its density of states at the Fermi level is 2.697 states/eV/f.u.

```
BeV3B
1.0
-2.852 1.861 2.049
0.655 -2.405 3.096
2.690 2.559 1.419
Be B V
1 1 3
Cartesian
0.246 1.008 3.282
0.000 0.000 0.000
0.327 -1.202 1.548
1.345 1.280 0.709
-1.426 0.931 1.024
```

=====

No. 2
Material: ZnSe2Br
Method: DFT, PBE
State: relaxed

Properties
Its uncorrected formation energy is -0.05 eV/atom. Its space-group type is No. 44. Its density of states at the Fermi level is 2.789 states/eV/f.u.

```
ZnSe2Br
1.0
6.161 0.034 0.013
0.040 6.161 -0.013
-1.026 -5.174 3.184
Br Se Zn
1 2 1
Cartesian
3.710 -1.429 1.599
0.363 0.363 0.000
1.180 2.166 1.586
3.022 3.020 0.000
```

=====

No. 3
Material: K2TmInS4
Method: DFT, PBE
State: relaxed

Properties
Its uncorrected formation energy is -1.32 eV/atom. Its space-group type is No. 74.

```
K2TmInS4
1.0
-8.145 -0.004 -1.380
0.946 -6.460 -5.062
2.850 -0.383 7.710
K Tm In S
4 2 2 8
Cartesian
-4.073 -0.002 -0.690
-2.647 -0.194 3.165
1.425 -0.192 3.855
-3.600 -3.232 -3.221
0.473 -3.230 -2.531
-6.247 -3.426 -0.056
-2.174 -3.424 0.634
-5.295 -0.388 6.330
1.781 -5.114 3.479
-4.451 -2.106 1.542
0.103 -4.742 -0.273
-6.130 -1.734 -2.211
-2.776 -5.128 2.666
-4.004 -4.961 -0.659
-0.345 -1.887 1.927
-1.573 -1.720 -1.397
```

=====

No. 4
Material: Ba8LiIr2
Method: DFT, PBE
State: relaxed

Properties
The calculation puts the formation energy at 0.1011 eV/atom. Its space-group type is No. 2. Its density of states at the Fermi level is 11.731 states/eV/f.u.

```
Ba8LiIr2
1.0
-0.497 -2.965 5.815
5.034 -8.327 -3.818
5.386 7.793 4.434
Ba Li Ir
8 1 2
Cartesian
5.028 -3.692 0.380
4.895 0.193 6.051
4.712 -7.718 1.950
2.628 0.519 2.373
7.588 0.245 2.657
5.211 4.219 4.481
7.295 -4.017 4.058
2.334 -3.744 3.774
5.386 7.793 4.434
5.153 1.729 3.039
4.770 -5.228 3.391
```

=====

No. 5
Material: K2Ac4S3N2
Method: DFT, PBE
State: relaxed

Properties
Its uncorrected formation energy is -1.19 eV/atom. Its space-group type is No. 139. Its density of states at the Fermi level is 3.182 states/eV/f.u.

```
K2Ac4S3N2
1.0
-4.713 1.753 -0.653
-1.856 -4.603 1.038
2.718 4.339 11.720
K Ac S N
2 4 3 2
Cartesian
-0.330 1.701 6.952
-3.520 -0.211 5.153
-1.400 0.131 10.459
-2.829 3.309 9.614
-1.022 -1.819 2.491
-2.450 1.359 1.646
0.000 0.000 0.000
-0.182 0.939 3.837
-3.668 0.551 8.268
-0.455 2.342 9.571
-3.396 -0.852 2.534
```

=====

No. 6
Material: Sb7Se
Method: DFT, PBE
State: relaxed

Properties
Its uncorrected formation energy is 0.32 eV/atom. Its space-group type is No. 225. Its density of states at the Fermi level is 3.654 states/eV/f.u.

```
Sb7Se
1.0
0.000 4.735 4.735
4.735 0.000 4.735
4.735 4.735 0.000
Sb Se
7 1
Cartesian
2.368 2.368 4.735
2.368 4.735 2.368
0.000 2.368 2.368
2.368 2.368 0.000
2.368 0.000 2.368
4.735 2.368 2.368
4.735 4.735 4.735
0.000 0.000 0.000
```

=====

No. 7
Material: Tm2ThPbC
Method: DFT, PBE
State: relaxed

Properties
The calculation puts the formation energy at -0.4236 eV/atom. Its space-group type is No. 123. Its density of states at the Fermi level is 3.249 states/eV/f.u.

```
Tm2ThPbC
1.0
-4.429 0.925 -2.286
-2.312 -0.493 4.278
0.558 4.781 0.853
Tm Th Pb C
2 1 1 1
Cartesian
0.279 2.390 0.426
-1.156 -0.247 2.139
-2.215 0.462 -1.143
-3.091 2.606 1.422
0.000 0.000 0.000
```

=====

No. 8
Material: Sb2AsRh
Method: DFT, PBE
State: relaxed

Properties
Its uncorrected formation energy is -0.01 eV/atom. Its space-group type is No. 44. Its density of states at the Fermi level is 2.689 states/eV/f.u.

```
Sb2AsRh
1.0
6.469 -0.015 0.032
3.957 5.117 -0.032
-4.774 -3.448 2.677
Sb As Rh
2 1 1
Cartesian
0.603 0.295 0.000
3.494 -0.436 1.355
4.476 2.190 0.000
2.292 2.156 1.322
```

=====

No. 9
Material: Cd2Co2Br
Method: DFT, PBE
State: relaxed

Properties
Its uncorrected formation energy is 0.60 eV/atom. Its space-group type is No. 139. Its density of states at the Fermi level is 4.799 states/eV/f.u.

```
Cd2Co2Br
1.0
-1.047 3.471 1.659
-3.840 -1.047 -0.235
-2.084 -1.372 6.346
Co Br Cd
2 1 2
Cartesian
-2.377 0.732 1.758
-4.594 0.320 6.012
0.000 0.000 0.000
-2.787 1.655 4.359
-4.184 -0.603 3.412
```

=====

No. 10
Material: PmSmPt10
Method: DFT, PBE
State: relaxed

Properties
The calculation puts the formation energy at -0.7130 eV/atom. Its space-group type is No. 47. Its density of states at the Fermi level is 9.241 states/eV/f.u.

```
PmSmPt10
1.0
-1.109 0.575 -4.266
1.603 -5.054 -1.098
-8.603 -3.124 1.815
Pm Sm Pt
1 1 10
Cartesian
0.000 0.000 0.000
-3.500 -4.089 0.358
-2.870 -1.042 0.605
-6.361 -5.127 0.962
-0.639 -3.050 -0.245
-5.733 -2.082 1.209
-4.856 -1.274 -1.226
0.247 -2.239 -2.682
-2.306 -1.758 -1.953
-5.802 -5.844 -1.596
-1.505 -4.284 -2.502
-6.603 -3.318 -1.047
```

=====

No. 11
Material: SrReRh2
Method: DFT, PBE
State: relaxed

Properties
The calculation puts the formation energy at 0.3812 eV/atom. Its space-group type is No. 25. Its density of states at the Fermi level is 6.552 states/eV/f.u.

```
SrReRh2
1.0
-1.232 2.363 -0.901
-3.354 -2.040 -0.763
-2.207 1.262 6.328
Re Rh Sr
1 2 1
Cartesian
-4.139 1.218 4.462
-2.159 1.235 6.191
-2.735 0.415 0.436
-1.069 0.612 3.066
```

=====

No. 12
Material: ZrBH2
Method: DFT, PBE
State: relaxed

Properties
The calculation puts the electronic total energy at -21.62 eV/cell. Its space-group type is No. 225. Its density of states at the Fermi level is 1.141 states/eV/f.u.

```
ZrBH2
1.0
-0.705 -1.894 2.920
-3.349 -0.337 1.132
-1.659 -3.128 -0.270
H B Zr
2 1 1
Cartesian
-1.428 -1.340 0.946
-4.285 -4.019 2.837
0.000 0.000 0.000
-2.857 -2.679 1.891
```

=====

Let's list density in order: 4.57; 4.18; 4.10; 3.99; 5.84; 7.28; 10.82; 7.91; 7.11; 16.61; 10.38; 5.46 g/cm3.